## A
{
  "formula": "RbSbAsI2",
  "functional": "PBE",
  "state": "relaxed",
  "lattice": [[6.1743, 0.0000, 0.0000], [0.0000, 6.1743, 0.0000], [0.0000, 0.0000, 5.3500]],
  "species": ["Rb", "Sb", "As", "I", "I"],
  "fractional_positions": [[0.0000, 0.0000, 0.0000], [0.5000, 0.5000, 0.0000], [0.5000, 0.5000, 0.5000], [0.0000, 0.5000, 0.5000], [0.5000, 0.0000, 0.5000]]
}

## B
{
  "formula": "RbSbAsI2",
  "functional": "PBE",
  "state": "relaxed",
  "lattice": [[6.9908, 0.0000, 0.0000], [0.0000, 6.9908, 0.0000], [0.0000, 0.0000, 7.6724]],
  "species": ["Rb", "Sb", "As", "I", "I"],
  "fractional_positions": [[0.0000, 0.0000, 0.0000], [0.0000, 0.0000, 0.5000], [0.5000, 0.5000, 0.5000], [0.0000, 0.5000, 0.0000], [0.5000, 0.0000, 0.0000]]
}

Relative to the most stable one, in meV/atom, the structures come out at A 0; B 1015.

## A
{
  "formula": "RbSb2AsI",
  "functional": "PBE",
  "state": "relaxed",
  "lattice": [[5.3229, 0.0000, 0.0000], [0.0000, 5.3229, 0.0000], [0.0000, 0.0000, 8.7911]],
  "species": ["Rb", "Sb", "Sb", "As", "I"],
  "fractional_positions": [[0.0000, 0.0000, 0.0000], [0.0000, 0.5000, 0.5000], [0.5000, 0.0000, 0.5000], [0.5000, 0.5000, 0.5000], [0.5000, 0.5000, 0.0000]]
}

## B
{
  "formula": "RbSb2AsI",
  "functional": "PBE",
  "state": "relaxed",
  "lattice": [[8.4499, 0.0000, 0.0000], [0.0000, 8.4499, 0.0000], [0.0000, 0.0000, 6.8525]],
  "species": ["Rb", "Sb", "Sb", "As", "I"],
  "fractional_positions": [[0.0000, 0.0000, 0.0000], [0.0000, 0.5000, 0.0000], [0.5000, 0.0000, 0.0000], [0.5000, 0.5000, 0.5000], [0.0000, 0.0000, 0.5000]]
}

Relative to the most stable one, in meV/atom, the structures come out at A 0; B 1164.

## A
{
  "formula": "RbAsSe2I",
  "functional": "PBE",
  "state": "relaxed",
  "lattice": [[6.7060, 0.0000, 0.0000], [0.0000, 6.7060, 0.0000], [0.0000, 0.0000, 6.8279]],
  "species": ["Rb", "As", "Se", "Se", "I"],
  "fractional_positions": [[0.0000, 0.0000, 0.0000], [0.0000, 0.0000, 0.5000], [0.0000, 0.5000, 0.0000], [0.5000, 0.0000, 0.0000], [0.5000, 0.5000, 0.5000]]
}

## B
{
  "formula": "RbAsSe2I",
  "functional": "PBE",
  "state": "relaxed",
  "lattice": [[5.6070, 0.0000, 0.0000], [0.0000, 5.6070, 0.0000], [0.0000, 0.0000, 5.5906]],
  "species": ["Rb", "As", "Se", "Se", "I"],
  "fractional_positions": [[0.0000, 0.0000, 0.0000], [0.5000, 0.5000, 0.0000], [0.0000, 0.5000, 0.5000], [0.5000, 0.0000, 0.5000], [0.5000, 0.5000, 0.5000]]
}

Relative to the most stable one, in meV/atom, the structures come out at A 782; B 0.

## A
{
  "formula": "RbAs2SeI",
  "functional": "PBE",
  "state": "relaxed",
  "lattice": [[6.7951, 0.0000, 0.0000], [0.0000, 6.7951, 0.0000], [0.0000, 0.0000, 6.3171]],
  "species": ["Rb", "As", "As", "Se", "I"],
  "fractional_positions": [[0.0000, 0.0000, 0.0000], [0.0000, 0.5000, 0.0000], [0.5000, 0.0000, 0.0000], [0.0000, 0.0000, 0.5000], [0.5000, 0.5000, 0.5000]]
}

## B
{
  "formula": "RbAs2SeI",
  "functional": "PBE",
  "state": "relaxed",
  "lattice": [[5.5945, 0.0000, 0.0000], [0.0000, 5.5945, 0.0000], [0.0000, 0.0000, 5.6923]],
  "species": ["Rb", "As", "As", "Se", "I"],
  "fractional_positions": [[0.0000, 0.0000, 0.0000], [0.0000, 0.5000, 0.5000], [0.5000, 0.0000, 0.5000], [0.5000, 0.5000, 0.0000], [0.5000, 0.5000, 0.5000]]
}

Relative to the most stable one, in meV/atom, the structures come out at A 802; B 0.